# 1
Density functional theory data (PBE) for a geometry-optimized UMn2Fe structure.

POSCAR file:
```
UMn2Fe
1.0
-2.117 1.733 -0.617
-1.776 -2.171 -0.002
-1.159 0.941 6.622
Fe U Mn
1 1 2
Cartesian
-1.946 -0.219 -0.309
-2.526 0.251 3.001
-0.924 0.751 5.284
-0.234 0.190 1.338
```

Output
D(E_F)   4.96 states/eV/cell
Calculated formation energy   0.18 eV per atom
Symmetry   P4/mmm (123)


# 2
Density functional theory data (PBE) for a geometry-optimized U2MnFe structure.

POSCAR file:
```
U2MnFe
1.0
2.887 0.000 0.000
1.444 2.501 0.000
1.444 0.834 8.992
Fe Mn U
1 1 2
Cartesian
2.887 1.667 4.496
0.000 0.000 0.000
4.331 2.501 2.306
1.444 0.834 6.686
```

Output
D(E_F)   5.42 states/eV/cell
Calculated formation energy   0.40 eV per atom
Symmetry   R-3m (166)


# 3
Density functional theory data (PBE) for a geometry-optimized UMnFe4 structure.

POSCAR file:
```
UMnFe4
1.0
4.902 0.000 0.000
2.451 4.246 0.000
2.451 1.415 4.003
Fe U Mn
4 1 1
Cartesian
4.902 2.830 0.492
4.902 1.408 2.504
6.135 3.542 2.504
3.670 3.542 2.504
2.451 1.415 1.001
0.000 0.000 0.000
```

Output
D(E_F)   10.70 states/eV/cell
Calculated formation energy   0.05 eV per atom
Symmetry   F-43m (216)


# 4
Density functional theory data (PBE) for a geometry-optimized U2MnFe3 structure.

POSCAR file:
```
U2MnFe3
1.0
-2.835 3.238 -2.598
-2.152 -3.194 3.231
0.766 5.221 5.672
Fe Mn U
6 2 4
Cartesian
-1.001 0.779 2.063
-2.074 -0.815 3.675
-3.489 0.801 2.379
-2.146 6.080 2.630
-3.220 4.486 4.242
-0.732 4.464 3.926
0.383 2.610 2.836
0.000 0.000 0.000
-2.552 1.471 -0.245
-2.280 3.327 1.771
-1.941 1.937 4.534
-1.669 3.794 6.550
```

Output
D(E_F)   20.42 states/eV/cell
Calculated formation energy   -0.07 eV per atom
Symmetry   P6_3/mmc (194)


# 5
Density functional theory data (PBE) for a geometry-optimized U2MnFe structure.

POSCAR file:
```
U2MnFe
1.0
-1.110 2.567 0.499
-1.317 -2.601 2.363
5.018 1.350 4.224
Fe Mn U
1 1 2
Cartesian
2.509 0.675 2.112
0.000 0.000 0.000
0.322 -0.313 2.329
2.269 1.629 4.757
```

Output
D(E_F)   6.19 states/eV/cell
Calculated formation energy   0.21 eV per atom
Symmetry   C2/m (12)


# 6
Density functional theory data (PBE) for a geometry-optimized UMnFe structure.

POSCAR file:
```
UMnFe
1.0
2.798 0.000 0.000
0.000 2.798 0.000
-1.399 -1.399 5.442
U Mn Fe
1 1 1
Cartesian
0.000 0.000 0.001
1.399 1.399 2.042
0.000 0.000 3.398
```

Output
D(E_F)   5.15 states/eV/cell
Calculated formation energy   0.17 eV per atom
Symmetry   I4mm (107)


Number 1: total magnetization 1.7 μB per cell. Number 2: total magnetization 0.4 μB per cell. Number 3: total magnetization 10.5 μB per cell. Number 4: total magnetization 2.6 μB per cell. Number 5: total magnetization 0.0 μB per cell. Number 6: total magnetization 0.9 μB per cell.